A plane-wave DFT calculation with PBE was carried out for a relaxed PrThI crystal.

Geometry as POSCAR:
```
PrThI
1.0
6.698 0.000 0.000
0.000 3.868 0.000
-1.848 0.000 17.537
Pr Th I
4 4 4
Direct
0.067 0.000 0.244 Pr
0.433 0.500 0.756 Pr
0.567 0.500 0.244 Pr
0.933 0.000 0.756 Pr
0.145 0.500 0.922 Th
0.355 0.000 0.078 Th
0.645 0.000 0.922 Th
0.855 0.500 0.078 Th
0.231 0.000 0.626 I
0.269 0.500 0.374 I
0.731 0.500 0.626 I
0.769 0.000 0.374 I
```

Summary:
Space-group type: C2/m (12)
Final energy in eV per formula unit: -15.29
Energy relative to the elements, uncorrected in eV/atom: -0.514
M_tot in μB/f.u.: 0.0